First-principles (PBE) data for an optimized crystal structure of RbLiBr2, as listed in Alexandria.

a = 4.286 Å, b = 4.286 Å, c = 8.059 Å
α = 74.58°, β = 74.58°, γ = 60.00°
Sites, in units of the cell vectors:
Br (0.065, 0.065, 0.805)
Br (0.268, 0.268, 0.197)
Rb (0.499, 0.499, 0.503)
Li (0.668, 0.668, 0.995)

space group: R3m
E: -3.105 eV per atom
E_form (uncorrected): -1.548 eV/atom